A plane-wave DFT calculation with GGA-PBE was carried out for an optimized crystal structure of Th4As3PtRh12. Values from VASP.

Calculated values
* SG: Im-3m, No. 229
* E_form: -241.8 meV/atom
* ρ: 10.59 g/cm3

```
&SYSTEM
  ibrav = 0, nat = 20, ntyp = 4
/
ATOMIC_SPECIES
Rh 102.91 Rh.upf
Th 232.04 Th.upf
Pt 195.08 Pt.upf
As 74.92 As.upf
CELL_PARAMETERS angstrom
-6.9713 -0.9638 3.9544
5.6630 -4.6765 3.3505
2.2917 7.7284 0.4306
ATOMIC_POSITIONS crystal
Rh 0.2625 0.0000 0.2625
Rh 0.7375 0.0000 0.7375
Rh 0.7500 0.2500 0.5000
Rh 0.2500 0.7500 0.5000
Rh 0.2625 0.2625 0.0000
Rh 0.0000 0.7375 0.7375
Rh 0.2500 0.5000 0.7500
Rh 0.0000 0.2625 0.2625
Rh 0.5000 0.7500 0.2500
Rh 0.7500 0.5000 0.2500
Rh 0.7375 0.7375 0.0000
Rh 0.5000 0.2500 0.7500
Th 0.5000 0.0000 0.0000
Th 0.0000 0.0000 0.5000
Th 0.0000 0.5000 0.0000
Th 0.5000 0.5000 0.5000
Pt 0.0000 0.0000 0.0000
As 0.0000 0.5000 0.5000
As 0.5000 0.0000 0.5000
As 0.5000 0.5000 0.0000
```